Crystalline Na2ReBr8 at its relaxed geometry, computed with PBE.

a b c (Å): 7.886 7.886 7.414
angles (deg): 96.31 96.31 51.98
Positions (direct):
Na: 0.153 0.153 0.053
Na: 0.847 0.847 0.947
Re: 0.000 0.000 0.500
Br: 0.171 0.171 0.459
Br: 0.218 0.718 0.260
Br: 0.282 0.782 0.740
Br: 0.316 0.316 0.876
Br: 0.684 0.684 0.124
Br: 0.718 0.218 0.260
Br: 0.782 0.282 0.740
Br: 0.829 0.829 0.541

The formation energy (no corrections) comes out at -0.581 eV/atom. As for the crystal system: monoclinic. Its space group is C2/m. The value obtained for the calculated total energy is -34.86 eV per cell.